Material: Na2OsI
Method: DFT, PBE-GGA
State: optimized geometry

For the energy above the lowest structure with this stoichiometry, the calculation gives 0.0 kJ per mole of atoms. The density comes out at 6.02 g/cm3. Its uncorrected formation energy is 855.4 meV/atom.

a b c (Å): 6.6401 6.6401 6.6401
angles (deg): 99.79 99.79 131.30
Closest atoms and distances in Å follow each position.
Atoms (fractional coordinates):
Na 0.1062 0.6250 0.9812  2 Na 2.76, 2 Os 2.99
Na 0.3750 0.3562 0.4812  2 Na 2.76, 2 Os 2.99
Na 0.6438 0.1250 0.0188  2 Na 2.76, 2 Os 2.99
Na 0.8750 0.8938 0.5188  2 Na 2.76, 2 Os 2.99
Os 0.0000 0.0000 0.0000  2 I 2.74, 4 Na 2.99
Os 0.7500 0.2500 0.5000  2 I 2.74, 4 Na 2.99
I 0.2500 0.7500 0.5000  2 Os 2.74
I 0.5000 0.5000 0.0000  2 Os 2.74